Entry from Alexandria via LeMat-Bulk: a relaxed structure of RbCa3Cd (PBE).

a b c (Å): 6.9676 6.9676 6.9676
angles (deg): 90.00 90.00 90.00
Last column: nearest neighbours and their distance in Å.
Element x y z (fractional)
Ca: 0.5000 0.0000 0.0000  2 Rb 3.48
Cd: 0.5000 0.5000 0.5000  12 Ca 4.93
Rb: 0.0000 0.0000 0.0000  6 Ca 3.48
Ca: 0.0000 0.0000 0.5000  2 Rb 3.48
Ca: 0.0000 0.5000 0.0000  2 Rb 3.48

final energy	-0.577	eV/atom
ΔE to the lowest computed polymorph	963	meV per atom
size of the total moment	0.000	Bohr magnetons per cell
crystal system	cubic